[1]
RbMg | meta-GGA SCAN | single point on PBEsol structure

Cell: 6.082 6.082 6.082 Å, 60.00 60.00 60.00°
Positions (direct):
1 Mg 0.750 0.750 0.750
2 Rb 0.000 0.000 0.000

## Properties
Energy relative to the elements (meV/atom): 722
Total magnetization (μB per cell): 0.73
Calculated volume (Å³/cell): 159.1



[2]
CuBr | meta-GGA SCAN | single point on PBEsol structure

Cell: 6.132 6.581 6.132 Å, 62.24 90.00 117.76°
Positions (direct):
1 Br 0.290 0.580 0.710
2 Br 0.040 0.080 0.460
3 Br 0.710 0.420 0.290
4 Cu 0.875 0.250 0.875
5 Cu 0.875 0.750 0.375
6 Cu 0.875 0.750 0.875
7 Cu 0.375 0.250 0.875
8 Br 0.460 0.920 0.040

## Properties
Formation energy (no corrections) (eV/atom): -0.19
Total magnetization (μB per cell): 0.00
Calculated volume (Å³/cell): 186.2



The highest calculated volume belongs to which entry? CuBr